1.
Material: Er2S2O
Method: DFT, GGA-PBEsol
State: relaxed

The total magnetization comes out at 0.000 μB per atom. The uncorrected formation energy comes out at -13.53 eV/f.u.

The space group is P2_1/c (No. 14) and the conventional cell measures 8.0858, 6.7606 and 6.7249 Å, with angles of 90.00, 99.76 and 90.00 degrees. The distinct sites, in fractional coordinates, are Er at (0.0753, 0.1449, 0.3221), Er at (0.3626, 0.5537, 0.2507), S at (0.1821, 0.6319, 0.5768), S at (0.4235, 0.2218, 0.4700) and O at (0.1166, 0.0870, 0.6500).

***

2.
Material: Er2SiSO4
Method: DFT, GGA-PBEsol
State: relaxed

The total magnetization comes out at 0.000 μB per atom. The uncorrected formation energy comes out at -24.87 eV/f.u.

The space group is Cmce (No. 64) and the conventional cell measures 10.5835, 12.2005 and 6.7801 Å, with angles of 90.00, 90.00 and 90.00 degrees. The distinct sites, in fractional coordinates, are Er at (0.0000, 0.1719, 0.0212), Er at (0.2500, 0.0598, 0.7500), Si at (0.2500, 0.1870, 0.2500), S at (0.0000, 0.0071, 0.7453), O at (0.1256, 0.2340, 0.7617) and O at (0.2243, 0.1060, 0.0626).

***

3.
Material: ErSbO4
Method: DFT, GGA-PBEsol
State: relaxed

The total magnetization comes out at 0.000 μB per atom. The uncorrected formation energy comes out at -14.82 eV/f.u.

The space group is P2_1/c (No. 14) and the conventional cell measures 7.5208, 5.2843 and 7.4365 Å, with angles of 90.00, 98.06 and 90.00 degrees. The distinct sites, in fractional coordinates, are Er at (0.1421, 0.2259, 0.3883), Sb at (0.3370, 0.7294, 0.1903), O at (0.1117, 0.5182, 0.1723), O at (0.1730, 0.0096, 0.1173), O at (0.3297, 0.6110, 0.9354) and O at (0.4285, 0.0979, 0.8120).